VASP calculation (GGA-PBE) on TcIrPd after structural relaxation.

Properties
Excess energy over the best structure of this formula in the dataset ... 0.07 eV per formula unit
V ... 44.2 Å³/f.u.
Spin magnetization ... 0.000 μB/atom
Calculated formation energy ... -0.1 eV per formula unit

a = 5.5242 Å, b = 3.8574 Å, c = 8.7636 Å
α = 90.00°, β = 108.68°, γ = 90.00°
With the nearest neighbours (Å) after each atom.
Positions (direct):
Ir (0.5166, 0.0000, 0.5045)  6 Tc 2.65-2.78, 2 Ir 2.68, 4 Pd 2.75-2.77
Ir (0.5166, 0.5000, 0.0045)  6 Tc 2.65-2.78, 2 Ir 2.68, 4 Pd 2.75-2.77
Ir (0.8342, 0.0000, 0.1640)  5 Tc 2.64-2.90, 2 Ir 2.68, 5 Pd 2.75-2.82
Ir (0.8342, 0.5000, 0.6640)  5 Tc 2.64-2.90, 2 Ir 2.68, 5 Pd 2.75-2.82
Tc (0.3683, 0.0000, 0.1850)  2 Tc 2.57, 4 Ir 2.64-2.78, 4 Pd 2.74-2.85
Tc (0.3683, 0.5000, 0.6850)  2 Tc 2.57, 4 Ir 2.64-2.78, 4 Pd 2.74-2.85
Tc (0.6617, 0.0000, 0.8291)  2 Tc 2.57, 6 Ir 2.70-2.78, 4 Pd 2.70-2.82
Tc (0.6617, 0.5000, 0.3291)  2 Tc 2.57, 6 Ir 2.70-2.78, 4 Pd 2.70-2.82
Pd (0.1768, 0.0000, 0.8371)  5 Tc 2.70-2.89, 3 Pd 2.74-2.77, 4 Ir 2.76-2.79
Pd (0.1768, 0.5000, 0.3371)  5 Tc 2.70-2.89, 3 Pd 2.74-2.77, 4 Ir 2.76-2.79
Pd (0.0135, 0.0000, 0.5031)  3 Pd 2.74-2.77, 5 Ir 2.75-2.82, 4 Tc 2.82-2.85
Pd (0.0135, 0.5000, 0.0031)  3 Pd 2.74-2.77, 5 Ir 2.75-2.82, 4 Tc 2.82-2.85